AlBr: relaxed, GGA-PBE.

## Properties
The calculation puts the total magnetic moment at 0.00 μB per cell. The uncorrected energy is -6.1 eV per formula unit. Its raw formation energy is -0.359 eV per atom. As for the symmetry: Cm (8).

Cell: 6.508 6.508 8.397 Å, 104.70 104.70 31.00°
Fractional positions:
Al 0.000 0.000 0.000
Al 0.171 0.171 0.746
Al 0.501 0.501 0.747
Br 0.563 0.563 0.226
Br 0.797 0.797 0.993
Br 0.877 0.877 0.562